No. 1
## Nd3PuN3 (PBE)

Data for a relaxed structure of Nd3PuN3.

- Space-group type: C2/m, No. 12
- Energy relative to the elements, uncorrected: -0.907 eV per atom
- Offset from the most stable computed form: 89 meV/atom
- DFT total energy: -0.31480 hartree per atom
- Spin magnetization: 0.77 μB/atom

Unit cell a=7.384 b=6.393 c=6.393 alpha=107.27 beta=97.49 gamma=97.49
Each line ends with the local moment (μB).
Atoms (fractional coordinates):
Nd  0.657  0.670  0.670  0.09
Nd  0.500  0.815  0.185  0.03
Nd  0.500  0.185  0.815  0.03
Nd  0.000  0.821  0.179  0.12
Nd  0.000  0.179  0.821  0.12
Nd  0.343  0.330  0.330  0.09
Pu  0.174  0.692  0.692  4.81
Pu  0.826  0.308  0.308  4.81
N  0.758  0.000  0.000  -0.04
N  0.374  0.511  0.786  -0.09
N  0.374  0.786  0.511  -0.09
N  0.626  0.489  0.214  -0.09
N  0.626  0.214  0.489  -0.09
N  0.242  0.000  0.000  -0.04

=====

No. 2
## PmTh2Ti (PBE)

Data for a relaxed structure of PmTh2Ti.

- Space-group type: P4/mmm, No. 123
- Energy relative to the elements: 0.1470 eV/atom
- Offset from the most stable computed form: 0 meV/atom
- DFT total energy: -0.24712 hartree per atom
- Spin magnetization: 0.00 μB/atom

Unit cell a=3.626 b=3.626 c=8.750 alpha=90.00 beta=90.00 gamma=90.00
Atoms (fractional coordinates):
Ti  0.500  0.500  0.000
Th  0.000  0.000  0.785
Th  0.000  0.000  0.215
Pm  0.500  0.500  0.500

=====

No. 3
## La6Ru2Br3N (PBE)

Data for a relaxed structure of La6Ru2Br3N.

- Space-group type: C2/m, No. 12
- Energy relative to the elements, uncorrected: -1.082 eV per atom
- DFT total energy: -0.22797 hartree per atom
- Spin magnetization: 0.00 μB/atom

Unit cell a=7.010 b=7.010 c=8.193 alpha=98.21 beta=98.21 gamma=119.98
Atoms (fractional coordinates):
La  0.937  0.623  0.812
La  0.750  0.750  0.190
La  0.063  0.377  0.188
La  0.623  0.937  0.812
La  0.250  0.250  0.810
La  0.377  0.063  0.188
Ru  0.334  0.666  0.000
Ru  0.666  0.334  0.000
Br  0.171  0.829  0.500
Br  0.829  0.171  0.500
Br  0.500  0.500  0.500
N  0.000  0.000  0.000

=====

No. 4
## Er2CdTe (PBE)

Data for a relaxed structure of Er2CdTe.

- Space-group type: R-3m, No. 166
- Energy relative to the elements, uncorrected: -0.688 eV per atom
- Offset from the most stable computed form: 0 meV/atom
- DFT total energy: -0.14638 hartree per atom
- Spin magnetization: 0.00 μB/atom

Unit cell a=4.076 b=4.076 c=8.272 alpha=75.74 beta=75.74 gamma=60.00
Atoms (fractional coordinates):
Cd  0.000  0.000  0.000
Te  0.500  0.500  0.500
Er  0.249  0.249  0.253
Er  0.751  0.751  0.747

=====

No. 5
## BaNi2Ru (PBE)

Data for a relaxed structure of BaNi2Ru.

- Space-group type: Pmm2, No. 25
- Energy relative to the elements: 0.5796 eV/atom
- Offset from the most stable computed form: 469 meV/atom
- DFT total energy: -0.18782 hartree per atom
- Spin magnetization: 0.31 μB/atom

Unit cell a=3.279 b=3.053 c=7.311 alpha=90.00 beta=90.00 gamma=90.00
Each line ends with the local moment (μB).
Atoms (fractional coordinates):
Ba  0.500  0.500  0.760  -0.02
Ni  0.000  0.000  0.080  0.34
Ni  0.500  0.500  0.251  0.31
Ru  0.000  0.000  0.410  0.63

=====

No. 6
## Pr4InAu7 (PBE)

Data for a relaxed structure of Pr4InAu7.

- Space-group type: C2/m, No. 12
- Energy relative to the elements: -0.6251 eV/atom
- DFT total energy: -0.16016 hartree per atom
- Spin magnetization: 0.00 μB/atom

Unit cell a=5.170 b=8.730 c=7.920 alpha=68.26 beta=70.95 gamma=72.78
Atoms (fractional coordinates):
Pr  0.561  0.255  0.623
Pr  0.439  0.745  0.377
Pr  0.731  0.744  0.795
Pr  0.269  0.256  0.205
In  0.000  0.000  0.000
Au  0.805  0.995  0.395
Au  0.195  0.005  0.605
Au  0.095  0.638  0.173
Au  0.905  0.362  0.827
Au  0.327  0.549  0.797
Au  0.500  0.000  0.000
Au  0.673  0.451  0.203

=====

No. 7
## KRu2Se (PBE)

Data for a relaxed structure of KRu2Se.

- Space-group type: Pm, No. 6
- Energy relative to the elements, uncorrected: 0.275 eV per atom
- DFT total energy: -0.20243 hartree per atom
- Spin magnetization: 0.00 μB/atom

Unit cell a=3.521 b=2.860 c=8.297 alpha=80.11 beta=90.00 gamma=90.00
Atoms (fractional coordinates):
K  0.500  0.691  0.746
Ru  0.000  0.021  0.079
Ru  0.500  0.448  0.223
Se  0.000  0.340  0.451

=====

No. 8
## HWSe2Br (PBE)

Data for a relaxed structure of HWSe2Br.

- Space-group type: P4/mmm, No. 123
- Offset from the most stable computed form: 617 meV/atom
- DFT total energy: -0.14049 hartree per atom
- Spin magnetization: 0.71 μB/atom

Unit cell a=4.063 b=4.063 c=5.394 alpha=90.00 beta=90.00 gamma=90.00
Each line ends with the local moment (μB).
Atoms (fractional coordinates):
H  0.000  0.000  0.000  0.00
Se  0.000  0.500  0.000  -0.04
Se  0.500  0.000  0.000  -0.04
Br  0.000  0.000  0.500  0.02
W  0.500  0.500  0.500  2.78

=====

No. 9
## MgPdAu (PBE)

Data for a relaxed structure of MgPdAu.

- Space-group type: P-62m, No. 189
- Energy relative to the elements: -0.4862 eV/atom
- Offset from the most stable computed form: 94 meV/atom
- DFT total energy: -0.14116 hartree per atom
- Spin magnetization: 0.00 μB/atom

Unit cell a=2.980 b=7.778 c=7.778 alpha=120.00 beta=90.00 gamma=90.00
Atoms (fractional coordinates):
Au  0.000  0.000  0.698
Au  0.000  0.698  0.000
Au  0.000  0.302  0.302
Pd  0.000  0.667  0.333
Pd  0.000  0.333  0.667
Pd  0.500  0.000  0.000
Mg  0.500  0.000  0.367
Mg  0.500  0.633  0.633
Mg  0.500  0.367  0.000

=====

No. 10
## FeCuOs2 (PBE)

Data for a relaxed structure of FeCuOs2.

- Space-group type: P4/mmm, No. 123
- Energy relative to the elements: 0.3653 eV/atom
- Offset from the most stable computed form: 163 meV/atom
- DFT total energy: -0.30830 hartree per atom
- Spin magnetization: 0.53 μB/atom

Unit cell a=2.981 b=2.981 c=5.856 alpha=90.00 beta=90.00 gamma=90.00
Each line ends with the local moment (μB).
Atoms (fractional coordinates):
Cu  0.500  0.500  0.250  -0.06
Fe  0.500  0.500  0.750  2.28
Os  0.000  0.000  0.997  -0.05
Os  0.000  0.000  0.503  -0.05

=====

No. 11
## YCuPb (PBE)

Data for a relaxed structure of YCuPb.

- Space-group type: Cm, No. 8
- Energy relative to the elements: -0.2457 eV/atom
- DFT total energy: -0.18382 hartree per atom
- Spin magnetization: 0.00 μB/atom

Unit cell a=8.619 b=4.162 c=4.314 alpha=90.00 beta=74.72 gamma=76.02
Atoms (fractional coordinates):
Y  0.971  0.174  0.059
Y  0.476  0.921  0.289
Pb  0.297  0.511  0.883
Pb  0.799  0.759  0.654
Cu  0.121  0.599  0.475
Cu  0.617  0.350  0.657

=====

No. 12
## La2TbY3As6 (PBE)

Data for a relaxed structure of La2TbY3As6.

- Space-group type: C2/m, No. 12
- Energy relative to the elements: -1.5476 eV/atom
- DFT total energy: -0.24606 hartree per atom
- Spin magnetization: 0.00 μB/atom

Unit cell a=4.216 b=8.424 c=9.415 alpha=102.88 beta=102.94 gamma=90.00
Atoms (fractional coordinates):
La  0.835  0.669  0.669
La  0.165  0.331  0.331
Tb  0.500  0.000  0.000
Y  0.500  0.500  0.000
Y  0.833  0.166  0.666
Y  0.167  0.834  0.334
As  0.334  0.926  0.668
As  0.664  0.590  0.328
As  0.666  0.074  0.332
As  0.997  0.248  0.993
As  0.003  0.752  0.007
As  0.336  0.410  0.672